Entry 1:
PBE Hf3AgPb, optimized geometry; energy above the most stable polymorph in this dataset = 0.000 eV per atom; uncorrected energy = -6.496 eV/atom; E_form = 0.788 eV/atom
1.0
-3.2256 1.5192 3.6529
0.4168 -4.5564 2.2631
3.9342 1.7284 2.7552
Hf Pb Ag
3 1 1
Cartesian
0.2084 -2.2782 1.1315
1.9671 0.8642 1.3776
-1.6128 0.7596 1.8264
0.5627 -0.6544 4.3355
0.0000 0.0000 0.0000


Entry 2:
PBE Hf2AgPb, optimized geometry; energy above the most stable polymorph in this dataset = 0.000 eV per atom; uncorrected energy = -6.583 eV/atom; E_form = 0.034 eV/atom
1.0
-1.1019 3.2450 2.6470
2.6928 -1.6366 3.1272
3.3439 2.4419 -1.6015
Hf Ag Pb
2 1 1
Cartesian
1.3464 -0.8183 1.5636
1.6720 1.2209 -0.8008
2.4674 2.0251 2.0864
-0.5509 1.6225 1.3235


Entry 3:
PBE Hf2AgPb, optimized geometry; energy above the most stable polymorph in this dataset = 0.081 eV per atom; uncorrected energy = -6.501 eV/atom; E_form = 0.115 eV/atom
1.0
3.1534 0.0000 0.0000
0.0000 3.1534 0.0000
0.0000 0.0000 8.6691
Hf Pb Ag
2 1 1
Cartesian
0.0000 0.0000 2.0129
0.0000 0.0000 6.6562
1.5767 1.5767 4.3346
1.5767 1.5767 0.0000


Entry 4:
PBE Hf2AgPb, optimized geometry; energy above the most stable polymorph in this dataset = 0.107 eV per atom; uncorrected energy = -6.476 eV/atom; E_form = 0.140 eV/atom
1.0
-0.7094 3.5421 3.3900
-2.2805 4.2135 -1.2601
-4.5644 0.9438 1.6784
Hf Ag Pb
2 1 1
Cartesian
-1.8886 2.1748 0.9521
-5.6657 6.5245 2.8562
0.0000 0.0000 0.0000
-3.7771 4.3497 1.9041